(1)
A plane-wave DFT calculation with PBE-GGA was carried out for a geometry-optimized SrHo2NpO8 structure.

Summary:
For the formation energy (no corrections), the calculation gives -34.831 eV per formula unit. The total magnetization is 0.9 Bohr magnetons per cell. As for the space group: No. 10. For the electronic total energy, the calculation gives -8.190 eV per atom. Its theoretical density is 8.0 g/cm3.

Lattice parameters (Å, degrees): 3.9912 5.3136 7.6605 90.00 90.00 93.79
Atoms (fractional coordinates):
Sr: 0.0000 0.0000 0.5000
Ho: 0.5000 0.5000 0.7614
Ho: 0.5000 0.5000 0.2386
Np: 0.0000 0.0000 0.0000
O: 0.0261 0.7567 0.2078
O: 0.5375 0.7703 0.0000
O: 0.9739 0.2433 0.2078
O: 0.9739 0.2433 0.7922
O: 0.4625 0.2297 0.0000
O: 0.0261 0.7567 0.7922
O: 0.4904 0.7074 0.5000
O: 0.5096 0.2926 0.5000

(2)
A plane-wave DFT calculation with PBE-GGA was carried out for a geometry-optimized TiCr3Cd structure.

Summary:
The total magnetization is 10.1 Bohr magnetons per cell. As for the space group: No. 221. For the electronic total energy, the calculation gives -5.795 eV per atom. Its theoretical density is 4.3 g/cm3. The formation energy is 1.741 eV per atom.

Lattice parameters (Å, degrees): 4.9514 4.9514 4.9514 90.00 90.00 90.00
Atoms (fractional coordinates):
Cr: 0.0000 0.5000 0.0000
Cr: 0.0000 0.0000 0.5000
Cr: 0.5000 0.0000 0.0000
Ti: 0.5000 0.5000 0.5000
Cd: 0.0000 0.0000 0.0000

(3)
A plane-wave DFT calculation with PBE-GGA was carried out for a geometry-optimized AgPb2Br structure.

Summary:
For the formation energy (no corrections), the calculation gives -0.349 eV per formula unit. The total magnetization is 0.0 Bohr magnetons per cell. As for the space group: No. 35. For the electronic total energy, the calculation gives -3.073 eV per atom. Its theoretical density is 9.1 g/cm3.

Lattice parameters (Å, degrees): 3.6013 3.6013 8.5435 90.00 90.00 96.01
Atoms (fractional coordinates):
Pb: 0.0000 0.0000 0.0017
Pb: 0.5000 0.5000 0.2827
Br: 0.5000 0.5000 0.7096
Ag: 0.0000 0.0000 0.5060

(4)
A plane-wave DFT calculation with PBE-GGA was carried out for a geometry-optimized La8Nd5Th structure.

Summary:
The total magnetization is 0.0 Bohr magnetons per cell. As for the space group: No. 1. For the electronic total energy, the calculation gives -5.003 eV per atom. Its theoretical density is 6.7 g/cm3. The formation energy is 0.046 eV per atom.

Lattice parameters (Å, degrees): 9.8567 9.6032 7.1047 109.51 84.41 125.88
Atoms (fractional coordinates):
La: 0.1043 0.7324 0.8910
La: 0.8737 0.0566 0.7106
La: 0.8241 0.3107 0.4711
La: 0.7145 0.3290 0.9947
La: 0.5750 0.6210 0.2852
La: 0.5209 0.8728 0.0303
La: 0.3846 0.1756 0.3364
La: 0.0015 0.7574 0.4164
Nd: 0.1530 0.4750 0.1372
Nd: 0.9628 0.0308 0.1920
Nd: 0.6667 0.5939 0.7572
Nd: 0.4312 0.8973 0.5616
Nd: 0.2908 0.1912 0.8474
Th: 0.2470 0.4564 0.6188

(5)
A plane-wave DFT calculation with PBE-GGA was carried out for a geometry-optimized SmEu2Dy structure.

Summary:
The total magnetization is 15.2 Bohr magnetons per cell. As for the space group: No. 123. For the electronic total energy, the calculation gives -7.356 eV per atom. Its theoretical density is 7.2 g/cm3. The formation energy is 0.111 eV per atom.

Lattice parameters (Å, degrees): 3.6698 3.6698 10.6342 90.00 90.00 90.00
Atoms (fractional coordinates):
Eu: 0.0000 0.0000 0.7531
Eu: 0.0000 0.0000 0.2469
Sm: 0.5000 0.5000 0.5000
Dy: 0.5000 0.5000 0.0000

(6)
A plane-wave DFT calculation with PBE-GGA was carried out for a geometry-optimized TbY3Sc structure.

Summary:
The total magnetization is 0.0 Bohr magnetons per cell. As for the space group: No. 57. For the electronic total energy, the calculation gives -5.900 eV per atom. Its theoretical density is 4.9 g/cm3. The formation energy is 0.171 eV per atom.

Lattice parameters (Å, degrees): 3.5009 10.5223 17.2977 90.00 90.00 90.00
Atoms (fractional coordinates):
Tb: 0.7491 0.2500 0.8969
Tb: 0.7491 0.7500 0.6031
Tb: 0.2509 0.7500 0.1031
Tb: 0.2509 0.2500 0.3969
Y: 0.7488 0.5000 0.7500
Y: 0.2512 0.0000 0.2500
Y: 0.2512 0.5000 0.2500
Y: 0.7488 0.0000 0.7500
Y: 0.2494 0.5614 0.9231
Y: 0.2494 0.4386 0.5769
Y: 0.7506 0.0614 0.0769
Y: 0.7506 0.9386 0.4231
Y: 0.2494 0.0614 0.5769
Y: 0.2494 0.9386 0.9231
Y: 0.7506 0.5614 0.4231
Y: 0.7506 0.4386 0.0769
Sc: 0.7515 0.2500 0.2278
Sc: 0.7515 0.7500 0.2722
Sc: 0.2485 0.7500 0.7722
Sc: 0.2485 0.2500 0.7278